*w*
{
  "formula": "La4SmZn",
  "functional": "PBE",
  "state": "relaxed",
  "cell": [[-0.1180, 0.0964, -3.7368], [2.5715, -2.7113, -0.1511], [-10.2587, -9.7336, 0.0728]],
  "species": ["La", "La", "La", "La", "Sm", "Zn"],
  "fractional_positions": [[0.5000, 0.5000, 0.1814], [0.0000, 0.0000, 0.6326], [0.0000, 0.0000, 0.3674], [0.5000, 0.5000, 0.8186], [0.0000, 0.0000, 0.0000], [0.5000, 0.5000, 0.5000]],
  "crystal_system": "tetragonal"
}

---

*x*
{
  "formula": "La4SmZn",
  "functional": "PBE",
  "state": "relaxed",
  "cell": [[5.3256, 0.0001, -0.0008], [-0.0001, 5.3288, -0.0024], [0.0050, 0.0058, 7.7401]],
  "species": ["La", "La", "La", "La", "Sm", "Zn"],
  "fractional_positions": [[0.5013, 0.9970, 0.2682], [0.5014, 0.9976, 0.7279], [0.0015, 0.4973, 0.7278], [0.0011, 0.4971, 0.2684], [0.5012, 0.4975, 0.9983], [0.0013, 0.9973, 0.4982]],
  "crystal_system": "tetragonal"
}

---

Here is how they stack up, most stable first: *w*, *x*.

---

*w*
{
  "formula": "La6Sm2Zn",
  "functional": "PBE",
  "state": "relaxed",
  "cell": [[-1.1431, -5.0887, -1.8537], [10.2939, -1.7810, -1.4593], [0.7466, -3.7565, 9.8522]],
  "species": ["La", "La", "La", "La", "La", "La", "La", "La", "La", "La", "La", "La", "Sm", "Sm", "Sm", "Sm", "Zn", "Zn"],
  "fractional_positions": [[0.0000, 0.0401, 0.1910], [0.0000, 0.6908, 0.5434], [0.0000, 0.6227, 0.8792], [0.5000, 0.1227, 0.6208], [0.5000, 0.1908, 0.9566], [0.5000, 0.5401, 0.3090], [0.0000, 0.9599, 0.8090], [0.0000, 0.3092, 0.4566], [0.0000, 0.3773, 0.1208], [0.5000, 0.8773, 0.3792], [0.5000, 0.8092, 0.0434], [0.5000, 0.4599, 0.6910], [0.0000, 0.2828, 0.7795], [0.5000, 0.7829, 0.7205], [0.5000, 0.2171, 0.2795], [0.0000, 0.7172, 0.2205], [0.5000, 0.5000, 0.0000], [0.0000, 0.0000, 0.5000]],
  "crystal_system": "orthorhombic"
}

---

*x*
{
  "formula": "La6Sm2Zn",
  "functional": "PBE",
  "state": "relaxed",
  "cell": [[3.7455, 0.0000, 0.0000], [0.0000, 8.8557, -4.0778], [0.0000, -0.8959, 9.7092]],
  "species": ["La", "La", "La", "La", "La", "La", "Sm", "Sm", "Zn"],
  "fractional_positions": [[0.5000, 0.6256, 0.0000], [0.5000, 0.3745, 0.3746], [0.5000, 0.9998, 0.6254], [0.0000, 0.2653, 0.0000], [0.0000, 0.7349, 0.7348], [0.0000, 0.0001, 0.2652], [0.0000, 0.3332, 0.6667], [0.0000, 0.6665, 0.3333], [0.5000, 0.0001, 0.0000]],
  "crystal_system": "hexagonal"
}

---

Here is how they stack up, most stable first: *x*, *w*.

---

*w*
{
  "formula": "La2SmZn2",
  "functional": "PBE",
  "state": "relaxed",
  "cell": [[-3.3268, 0.9117, -1.4772], [1.8979, -0.9246, -4.8449], [-2.4147, -13.7995, 1.6876]],
  "species": ["La", "La", "La", "La", "Sm", "Sm", "Zn", "Zn", "Zn", "Zn"],
  "fractional_positions": [[0.0444, 0.7500, 0.0882], [0.9556, 0.2500, 0.9118], [0.2304, 0.7500, 0.4621], [0.7696, 0.2500, 0.5379], [0.8573, 0.7500, 0.7174], [0.1427, 0.2500, 0.2826], [0.6381, 0.7500, 0.2756], [0.3619, 0.2500, 0.7244], [0.4467, 0.7500, 0.8944], [0.5533, 0.2500, 0.1056]],
  "crystal_system": "monoclinic"
}

---

*x*
{
  "formula": "La2SmZn2",
  "functional": "PBE",
  "state": "relaxed",
  "cell": [[-3.7575, -4.9984, 0.5490], [4.8524, -4.1132, -4.2370], [2.4198, 2.8774, 6.8716]],
  "species": ["La", "La", "La", "La", "Sm", "Sm", "Zn", "Zn", "Zn", "Zn"],
  "fractional_positions": [[0.7978, 0.6329, 0.5955], [0.2022, 0.3671, 0.4045], [0.7022, 0.0373, 0.4045], [0.2978, 0.9627, 0.5955], [0.7500, 0.5000, 0.0000], [0.2500, 0.5000, 0.0000], [0.4431, 0.7802, 0.8862], [0.5569, 0.2198, 0.1138], [0.0569, 0.8940, 0.1138], [0.9431, 0.1060, 0.8862]],
  "crystal_system": "orthorhombic"
}

---

Here is how they stack up, most stable first: *w*, *x*.

---

*w*
{
  "formula": "La2Sm3Zn2",
  "functional": "PBE",
  "state": "relaxed",
  "cell": [[-0.6200, -0.8055, -3.5699], [3.1186, -1.9328, -0.1055], [-7.2492, -12.0187, 5.9006]],
  "species": ["La", "La", "Sm", "Sm", "Sm", "Zn", "Zn"],
  "fractional_positions": [[0.2964, 0.5000, 0.5928], [0.7036, 0.5000, 0.4072], [0.4159, 0.5000, 0.8318], [0.5841, 0.5000, 0.1682], [0.0000, 0.0000, 0.0000], [0.1394, 0.0000, 0.2789], [0.8606, 0.0000, 0.7211]],
  "crystal_system": "orthorhombic"
}

---

*x*
{
  "formula": "La2Sm3Zn2",
  "functional": "PBE",
  "state": "relaxed",
  "cell": [[4.8401, 0.0000, 0.0000], [-2.4200, 5.9323, -0.3846], [0.0000, -3.2238, 7.6041]],
  "species": ["La", "La", "Sm", "Sm", "Sm", "Zn", "Zn"],
  "fractional_positions": [[0.8614, 0.7228, 0.2026], [0.1386, 0.2772, 0.7974], [0.5000, 0.0000, 0.0000], [0.6367, 0.2735, 0.4713], [0.3633, 0.7265, 0.5287], [0.8607, 0.7215, 0.8094], [0.1393, 0.2785, 0.1906]],
  "crystal_system": "monoclinic"
}

---

Here is how they stack up, most stable first: *w*, *x*.

---

*w*
{
  "formula": "LaSmZn4",
  "functional": "PBE",
  "state": "relaxed",
  "cell": [[4.2769, 0.0000, 1.7208], [1.7836, 5.2876, 1.7422], [0.1391, -0.4143, 5.8296]],
  "species": ["La", "Sm", "Zn", "Zn", "Zn", "Zn"],
  "fractional_positions": [[0.0000, 0.0000, 0.0000], [0.0000, 0.5000, 0.5000], [0.6669, 0.5803, 0.0860], [0.3331, 0.9140, 0.4197], [0.3331, 0.4197, 0.9140], [0.6669, 0.0860, 0.5803]],
  "crystal_system": "orthorhombic"
}

---

*x*
{
  "formula": "LaSmZn4",
  "functional": "PBE",
  "state": "relaxed",
  "cell": [[5.5966, 0.0000, 0.0000], [2.7983, 4.8468, 0.0000], [2.7983, 1.6156, 4.5696]],
  "species": ["Zn", "Zn", "Zn", "Zn", "Sm", "La"],
  "fractional_positions": [[0.6256, 0.6256, 0.1232], [0.6256, 0.1232, 0.6256], [0.6256, 0.6256, 0.6256], [0.1232, 0.6256, 0.6256], [0.0000, 0.0000, 0.0000], [0.2500, 0.2500, 0.2500]],
  "crystal_system": "cubic"
}

---

Here is how they stack up, most stable first: *w*, *x*.

---

*w*
{
  "formula": "La2SmZr",
  "functional": "PBE",
  "state": "relaxed",
  "cell": [[-2.4514, 2.7642, -1.8246], [-1.8664, -3.0281, -2.0800], [-4.9674, -0.7460, 5.5435]],
  "species": ["Zr", "Sm", "La", "La"],
  "fractional_positions": [[0.5000, 0.5000, 0.0000], [0.5000, 0.5000, 0.5000], [0.0000, 0.0000, 0.7769], [0.0000, 0.0000, 0.2231]],
  "crystal_system": "tetragonal"
}

---

*x*
{
  "formula": "La2SmZr",
  "functional": "PBE",
  "state": "relaxed",
  "cell": [[3.5430, 0.0000, 0.0000], [1.7715, 3.0683, 0.0000], [1.7715, 1.0228, 11.6006]],
  "species": ["La", "La", "Sm", "Zr"],
  "fractional_positions": [[0.0784, 0.0784, 0.7648], [0.2557, 0.2557, 0.2329], [0.4983, 0.4983, 0.5052], [0.6676, 0.6676, 0.9971]],
  "crystal_system": "trigonal"
}

---

Here is how they stack up, most stable first: *x*, *w*.